[1]
# PBE Nd7Dy12Sc, relaxed
data_Nd7Dy12Sc
_chemical_formula_sum 'Nd21 Dy36 Sc3'
_cell_length_a 12.6208
_cell_length_b 12.6208
_cell_length_c 14.4390
_cell_angle_alpha 90.00
_cell_angle_beta 90.00
_cell_angle_gamma 120.00
_space_group_name_H-M_alt 'R -3'
_space_group_IT_number 148
_space_group_name_Hall '-R 3'
loop_
_atom_site_label
_atom_site_fract_x
_atom_site_fract_y
_atom_site_fract_z
_atom_site_occupancy
Nd1 0.0000 0.0000 0.0000 1
Nd2 0.0587 0.1890 0.3186 1
Dy1 0.0194 0.4350 0.2205 1
Dy2 0.0661 0.8349 0.8939 1
Sc1 0.0000 0.0000 0.5000 1
# Density ... 7.51 Mg/m³
# D(E_F) ... 1.654 states/eV per atom
# Relative energy among the computed polymorphs ... 0.0 kJ/mol of atoms
# Total magnetization ... 0.0 μB per cell
# Formation energy from the elements ... 0.256 eV/atom
# Crystal system ... trigonal

[2]
# PBE NdDySc, relaxed
data_NdDySc
_chemical_formula_sum 'Nd2 Dy2 Sc2'
_cell_length_a 3.455
_cell_length_b 5.266
_cell_length_c 10.155
_cell_angle_alpha 90.00
_cell_angle_beta 99.80
_cell_angle_gamma 90.00
_space_group_name_H-M_alt 'P 1 21/m 1'
_space_group_IT_number 11
loop_
_space_group_symop_operation_xyz
'x,y,z'
'-x,-y,-z'
'-x,y+1/2,-z'
'x,-y+1/2,z'
loop_
_atom_site_label
_atom_site_fract_x
_atom_site_fract_y
_atom_site_fract_z
_atom_site_occupancy
Nd1 0.205 0.250 0.409 1
Dy1 0.392 0.250 0.784 1
Sc1 0.039 0.250 0.077 1
# Density ... 6.42 Mg/m³
# D(E_F) ... 1.622 states/eV per atom
# Relative energy among the computed polymorphs ... 0.0 kJ/mol of atoms
# Total magnetization ... 0.0 μB per cell
# Formation energy from the elements ... 0.035 eV/atom
# Crystal system ... monoclinic

[3]
# PBE Nd2Dy6Sc, relaxed
data_Nd2Dy6Sc
_chemical_formula_sum 'Nd4 Dy12 Sc2'
_cell_length_a 17.661
_cell_length_b 9.852
_cell_length_c 3.439
_cell_angle_alpha 90.00
_cell_angle_beta 100.97
_cell_angle_gamma 90.00
_space_group_name_H-M_alt 'C 1 2/m 1'
_space_group_IT_number 12
loop_
_space_group_symop_operation_xyz
'x,y,z'
'-x,-y,-z'
'-x,y,-z'
'x,-y,z'
'x+1/2,y+1/2,z'
'-x+1/2,-y+1/2,-z'
'-x+1/2,y+1/2,-z'
'x+1/2,-y+1/2,z'
loop_
_atom_site_label
_atom_site_fract_x
_atom_site_fract_y
_atom_site_fract_z
_atom_site_occupancy
Nd1 0.167 0.000 0.166 1
Dy1 0.000 0.200 0.000 1
Dy2 0.164 0.316 0.663 1
Sc1 0.000 0.500 0.500 1
# Density ... 7.40 Mg/m³
# D(E_F) ... 2.049 states/eV per atom
# Relative energy among the computed polymorphs ... 9.7 kJ/mol of atoms
# Total magnetization ... 0.0 μB per cell
# Formation energy from the elements ... 0.201 eV/atom
# Crystal system ... monoclinic

[4]
# PBE NdDy5Sc4, relaxed
data_NdDy5Sc4
_chemical_formula_sum 'Nd2 Dy10 Sc8'
_cell_length_a 10.146
_cell_length_b 11.167
_cell_length_c 5.386
_cell_angle_alpha 90.00
_cell_angle_beta 90.00
_cell_angle_gamma 90.00
_space_group_name_H-M_alt 'P m m n'
_space_group_IT_number 59
loop_
_space_group_symop_operation_xyz
'x,y,z'
'-x,-y,-z'
'-x+1/2,-y+1/2,z'
'x+1/2,y+1/2,-z'
'x+1/2,-y,-z'
'-x+1/2,y,z'
'-x,y+1/2,-z'
'x,-y+1/2,z'
loop_
_atom_site_label
_atom_site_fract_x
_atom_site_fract_y
_atom_site_fract_z
_atom_site_occupancy
Nd1 0.250 0.250 0.249 1
Dy1 0.051 0.048 0.250 1
Dy2 0.250 0.750 0.749 1
Sc1 0.003 0.250 0.750 1
Sc2 0.250 0.057 0.750 1
# Density ... 6.19 Mg/m³
# D(E_F) ... 1.589 states/eV per atom
# Relative energy among the computed polymorphs ... 0.0 kJ/mol of atoms
# Total magnetization ... 0.0 μB per cell
# Formation energy from the elements ... 0.283 eV/atom
# Crystal system ... orthorhombic